#A
A relaxed structure of Cu2AsBr6, computed with GGA-PBE.

The space group is C2/c (No. 15) and the conventional cell measures 14.658, 13.643 and 7.356 Å, with angles of 90.00, 112.51 and 90.00 degrees. The inequivalent atoms are Cu at (0.229, 0.031, 0.305), As at (0.000, 0.393, 0.250), Br at (0.110, 0.283, 0.186), Br at (0.115, 0.409, 0.647) and Br at (0.128, 0.010, 0.968).

Its size of the total moment is 0.000 μB per atom.

***

#B
A relaxed structure of Cu2AsBr6, computed with GGA-PBE.

The space group is C2/m (No. 12) and the conventional cell measures 15.884, 3.833 and 9.688 Å, with angles of 90.00, 103.01 and 90.00 degrees. The inequivalent atoms are Cu at (0.198, 0.000, 0.376), As at (0.000, 0.000, 0.000), Br at (0.046, 0.000, 0.286), Br at (0.116, 0.500, 0.983) and Br at (0.212, 0.000, 0.647).

Its size of the total moment is 0.097 μB per atom.

***

#A is the most stable structure shown above.